## Ho2Fe17 (meta-GGA SCAN)

Data for a crystal of Ho2Fe17 relaxed with PBEsol.

Unit cell a=8.157 b=8.157 c=8.038 alpha=90.00 beta=90.00 gamma=120.00
Positions (direct):
Ho: 0.000 0.000 0.250
Ho: 0.000 0.000 0.750
Ho: 0.333 0.667 0.250
Ho: 0.667 0.333 0.750
Fe: 0.000 0.500 0.000
Fe: 0.000 0.500 0.500
Fe: 0.040 0.369 0.750
Fe: 0.040 0.671 0.750
Fe: 0.165 0.331 0.011
Fe: 0.165 0.331 0.489
Fe: 0.165 0.835 0.011
Fe: 0.165 0.835 0.489
Fe: 0.329 0.369 0.750
Fe: 0.329 0.960 0.750
Fe: 0.331 0.165 0.511
Fe: 0.331 0.165 0.989
Fe: 0.333 0.667 0.608
Fe: 0.333 0.667 0.892
Fe: 0.369 0.040 0.250
Fe: 0.369 0.329 0.250
Fe: 0.500 0.000 0.000
Fe: 0.500 0.000 0.500
Fe: 0.500 0.500 0.000
Fe: 0.500 0.500 0.500
Fe: 0.631 0.671 0.750
Fe: 0.631 0.960 0.750
Fe: 0.667 0.333 0.108
Fe: 0.667 0.333 0.392
Fe: 0.669 0.835 0.011
Fe: 0.669 0.835 0.489
Fe: 0.671 0.040 0.250
Fe: 0.671 0.631 0.250
Fe: 0.835 0.165 0.511
Fe: 0.835 0.165 0.989
Fe: 0.835 0.669 0.511
Fe: 0.835 0.669 0.989
Fe: 0.960 0.329 0.250
Fe: 0.960 0.631 0.250

Summary:
formation energy from the elements: 0.03 eV per atom
crystal system: hexagonal